(1)
## LaTaTe2 (GGA-PBE)

Data for a geometry-optimized LaTaTe2 structure.

Properties
* formation energy from raw total energies: -0.0823 eV/atom
* energy relative to the lowest polymorph listed for this composition: 454 meV per atom

a b c (Å): 3.7163 3.7163 29.5521
angles (deg): 90.00 90.00 120.00
Space group R3m (No. 160, hexagonal axes)
Inequivalent atoms, fractional coordinates:
La: 0.0000 0.0000 0.0000 (multiplicity 3)
Ta: 0.0000 0.0000 0.7524 (multiplicity 3)
Te: 0.0000 0.0000 0.2519 (multiplicity 3)
Te: 0.0000 0.0000 0.4787 (multiplicity 3)


(2)
## LiMgNpF6 (GGA-PBE)

Data for a geometry-optimized LiMgNpF6 structure.

Properties
* formation energy from raw total energies: -3.2789 eV/atom

a b c (Å): 5.4264 5.4264 9.1892
angles (deg): 90.00 90.00 120.00
Space group P-31c (No. 163)
Inequivalent atoms, fractional coordinates:
Li: 0.3333 0.6667 0.2500 (multiplicity 2)
Mg: 0.0000 0.0000 0.0000 (multiplicity 2)
Np: 0.3333 0.6667 0.7500 (multiplicity 2)
F: 0.0316 0.3276 0.1230 (multiplicity 12)


(3)
## PbCl (GGA-PBE)

Data for a geometry-optimized PbCl structure.

Properties
* formation energy from raw total energies: -0.6104 eV/atom

a b c (Å): 3.6204 3.6204 10.2251
angles (deg): 90.00 90.00 120.00
Space group P6_3mc (No. 186)
Inequivalent atoms, fractional coordinates:
Pb: 0.3333 0.6667 0.0000 (multiplicity 2)
Cl: 0.3333 0.6667 0.7238 (multiplicity 2)


(4)
## Sr5LiPd2 (GGA-PBE)

Data for a geometry-optimized Sr5LiPd2 structure.

Properties
* calculated formation energy: -31.0 kJ per mole of atoms

a b c (Å): 4.5726 8.0311 16.5350
angles (deg): 90.00 90.00 90.00
Space group Immm (No. 71)
Inequivalent atoms, fractional coordinates:
Sr: 0.0000 0.0000 0.0000 (multiplicity 2)
Sr: 0.0000 0.2440 0.3450 (multiplicity 8)
Li: 0.0000 0.5000 0.0000 (multiplicity 2)
Pd: 0.0000 0.0000 0.1890 (multiplicity 4)


(5)
## RbBi2P2 (GGA-PBE)

Data for a geometry-optimized RbBi2P2 structure.

Properties
* energy relative to the lowest polymorph listed for this composition: 78 meV per atom
* calculated formation energy: 2.3 kJ per mole of atoms

a b c (Å): 4.7064 4.7064 13.4214
angles (deg): 90.00 90.00 90.00
Space group I4/mmm (No. 139)
Inequivalent atoms, fractional coordinates:
Rb: 0.0000 0.0000 0.0000 (multiplicity 2)
Bi: 0.0000 0.5000 0.2500 (multiplicity 4)
P: 0.0000 0.0000 0.4223 (multiplicity 4)


(6)
## PaAl2GaCu2 (GGA-PBE)

Data for a geometry-optimized PaAl2GaCu2 structure.

Properties
* calculated formation energy: 12.2 kJ per mole of atoms

a b c (Å): 4.4413 4.4413 5.6364
angles (deg): 90.00 90.00 90.00
Space group P4/mmm (No. 123)
Inequivalent atoms, fractional coordinates:
Pa: 0.0000 0.0000 0.0000 (multiplicity 1)
Al: 0.5000 0.5000 0.2309 (multiplicity 2)
Ga: 0.0000 0.0000 0.5000 (multiplicity 1)
Cu: 0.0000 0.5000 0.5000 (multiplicity 2)


Spin magnetization values, unit μB per cell, following the record order: 1.81, 8.00, 0.00, 0.00, 0.00, 1.30.